This record from Alexandria via LeMat-Bulk describes a geometry-optimized LaTb5Dy2Y structure. The functional is GGA-PBE.

POSCAR file:
```
LaTb5Dy2Y
1.0
-7.607 3.424 3.496
-1.221 -7.585 4.772
8.268 4.962 1.431
Y Dy Tb La
2 4 10 2
Direct
0.250 0.750 0.500 Y
0.750 0.250 0.500 Y
0.888 0.612 0.000 Dy
0.612 0.112 0.000 Dy
0.388 0.888 0.000 Dy
0.112 0.388 0.000 Dy
0.500 0.500 0.000 Tb
0.666 0.166 0.741 Tb
0.925 0.425 0.259 Tb
0.075 0.575 0.741 Tb
0.425 0.334 0.259 Tb
0.166 0.075 0.741 Tb
0.834 0.925 0.259 Tb
0.000 0.000 0.000 Tb
0.334 0.834 0.259 Tb
0.575 0.666 0.741 Tb
0.750 0.750 0.500 La
0.250 0.250 0.500 La
```

Calculated values
Its energy of formation from the pure elements is 2.57 eV per formula unit. As for the volume: 601.85 Å³ per cell. For the total moment, the calculation gives 0.0 μB per cell.